## ReMo2P2 (PBE)

Data for a relaxed ReMo2P2 crystal.

DFT formation energy: -0.127 eV/atom
Total magnetic moment: 0.00 μB per formula unit
Space group: No. 127
Energy: -91.1 eV/cell

Unit cell a=6.701 b=6.701 c=3.130 alpha=90.00 beta=90.00 gamma=90.00
Element x y z (fractional)
Re  0.000  0.000  0.000
Re  0.500  0.500  0.000
Mo  0.144  0.356  0.500
Mo  0.356  0.856  0.500
Mo  0.644  0.144  0.500
Mo  0.856  0.644  0.500
P  0.157  0.657  0.000
P  0.343  0.157  0.000
P  0.657  0.843  0.000
P  0.843  0.343  0.000



## NaTm2Te3 (PBE)

Data for a relaxed NaTm2Te3 crystal.

Total magnetic moment: 0.00 μB per formula unit
E above lowest polymorph: 0.086 eV/atom
ΔE_f (raw): -1.152 eV per atom
Space group: No. 26
Energy: -53.2 eV/cell

Unit cell a=4.187 b=12.307 c=7.390 alpha=90.00 beta=90.00 gamma=90.00
Element x y z (fractional)
Na  0.000  0.119  0.000
Na  0.000  0.881  0.500
Tm  0.000  0.215  0.506
Tm  0.000  0.785  0.006
Tm  0.500  0.495  0.506
Tm  0.500  0.505  0.006
Te  0.000  0.396  0.765
Te  0.000  0.604  0.265
Te  0.500  0.075  0.671
Te  0.500  0.298  0.240
Te  0.500  0.702  0.740
Te  0.500  0.925  0.171



## KCrSi (PBE)

Data for a relaxed KCrSi crystal.

Total magnetic moment: 3.09 μB per formula unit
E above lowest polymorph: 0.000 eV/atom
ΔE_f (raw): 0.360 eV per atom
Space group: No. 44
Energy: -15.1 eV/cell

Unit cell a=6.652 b=6.652 c=6.652 alpha=154.04 beta=145.79 gamma=43.44
Element x y z (fractional)
K  0.000  0.000  0.000
Cr  0.257  0.257  0.000
Si  0.736  0.736  0.000



## MgTe2Pt (PBE)

Data for a relaxed MgTe2Pt crystal.

Total magnetic moment: 0.00 μB per formula unit
ΔE_f (raw): -0.304 eV per atom
Space group: No. 65
Energy: -15.1 eV/cell

Unit cell a=5.135 b=5.135 c=4.047 alpha=90.00 beta=90.00 gamma=108.53
Element x y z (fractional)
Mg  0.000  0.000  0.000
Te  0.287  0.713  0.500
Te  0.713  0.287  0.500
Pt  0.500  0.500  0.000



## Co2H2W (PBE)

Data for a relaxed Co2H2W crystal.

Total magnetic moment: 0.00 μB per formula unit
E above lowest polymorph: 0.000 eV/atom
Space group: No. 139
Energy: -33.3 eV/cell

Unit cell a=4.580 b=4.580 c=4.580 alpha=139.12 beta=139.12 gamma=59.19
Element x y z (fractional)
Co  0.164  0.164  0.000
Co  0.836  0.836  0.000
H  0.250  0.750  0.500
H  0.750  0.250  0.500
W  0.500  0.500  0.000



## Er2PaCu9 (PBE)

Data for a relaxed Er2PaCu9 crystal.

DFT formation energy: -0.122 eV/atom
Total magnetic moment: 0.24 μB per formula unit
Space group: No. 166
Energy: -56.9 eV/cell

Unit cell a=8.733 b=8.733 c=8.733 alpha=34.33 beta=34.33 gamma=34.33
Element x y z (fractional)
Er  0.143  0.143  0.143
Er  0.857  0.857  0.857
Pa  0.000  0.000  0.000
Cu  0.083  0.582  0.582
Cu  0.332  0.332  0.332
Cu  0.418  0.418  0.917
Cu  0.418  0.917  0.418
Cu  0.500  0.500  0.500
Cu  0.582  0.083  0.582
Cu  0.582  0.582  0.083
Cu  0.668  0.668  0.668
Cu  0.917  0.418  0.418